# YNiSeBr2, optimized geometry, DFT GGA-PBE
data_YNiSeBr2
_chemical_formula_sum 'Y1 Ni1 Se1 Br2'
_symmetry_space_group_name_H-M 'P 4/m m m'
_symmetry_Int_Tables_number 123
_symmetry_space_group_name_Hall '-P 4 2'
_cell_length_a 5.492
_cell_length_b 5.492
_cell_length_c 5.583
_cell_angle_alpha 90.00
_cell_angle_beta 90.00
_cell_angle_gamma 90.00
loop_
_atom_site_label
_atom_site_type_symbol
_atom_site_fract_x
_atom_site_fract_y
_atom_site_fract_z
Y1 Y 0.000 0.000 0.000
Ni1 Ni 0.500 0.500 0.500
Se1 Se 0.000 0.000 0.500
Br1 Br 0.000 0.500 0.000
# Total magnetic moment in μB per formula unit: 1.1
# Energy above the most stable polymorph in this dataset in eV/atom: 0.213
# N(E_F) in states/eV per cell: 6.419
# Formation energy from raw total energies in kJ/mol of atoms: -35.22
# Calculated total energy in eV/atom: -4.18


# Ac4Ce3HoSe8, optimized geometry, DFT GGA-PBE
data_Ac4Ce3HoSe8
_chemical_formula_sum 'Ac12 Ce9 Ho3 Se24'
_symmetry_space_group_name_H-M 'R -3 m'
_symmetry_Int_Tables_number 166
_symmetry_space_group_name_Hall '-R 3 2"'
_cell_length_a 8.6003
_cell_length_b 8.6003
_cell_length_c 21.3530
_cell_angle_alpha 90.00
_cell_angle_beta 90.00
_cell_angle_gamma 120.00
loop_
_atom_site_label
_atom_site_type_symbol
_atom_site_fract_x
_atom_site_fract_y
_atom_site_fract_z
Ac1 Ac 0.0000 0.0000 0.0000
Ac2 Ac 0.0000 0.5000 0.0000
Ce1 Ce 0.0000 0.5000 0.5000
Ho1 Ho 0.0000 0.0000 0.5000
Se1 Se 0.0000 0.0000 0.2443
Se2 Se 0.0069 0.5035 0.2427
# Total magnetic moment in μB per formula unit: 3.0
# N(E_F) in states/eV per cell: 67.531
# Formation energy from raw total energies in kJ/mol of atoms: -175.30
# Calculated total energy in eV/atom: -5.98


# BaICl6, optimized geometry, DFT GGA-PBE
data_BaICl6
_chemical_formula_sum 'Ba2 I2 Cl12'
_symmetry_space_group_name_H-M 'C 1 2/m 1'
_symmetry_Int_Tables_number 12
_cell_length_a 8.414
_cell_length_b 8.617
_cell_length_c 7.772
_cell_angle_alpha 90.00
_cell_angle_beta 114.89
_cell_angle_gamma 90.00
loop_
_symmetry_equiv_pos_as_xyz
'x,y,z'
'-x,-y,-z'
'-x,y,-z'
'x,-y,z'
'x+1/2,y+1/2,z'
'-x+1/2,-y+1/2,-z'
'-x+1/2,y+1/2,-z'
'x+1/2,-y+1/2,z'
loop_
_atom_site_label
_atom_site_type_symbol
_atom_site_fract_x
_atom_site_fract_y
_atom_site_fract_z
Ba1 Ba 0.000 0.000 0.000
I1 I 0.000 0.500 0.500
Cl1 Cl 0.140 0.303 0.819
Cl2 Cl 0.195 0.000 0.475
# Total magnetic moment in μB per formula unit: 0.0
# N(E_F) in states/eV per cell: 3.955
# Formation energy from raw total energies in kJ/mol of atoms: -88.97
# Calculated total energy in eV/atom: -2.74


# Ca2TiRe, optimized geometry, DFT GGA-PBE
data_Ca2TiRe
_chemical_formula_sum 'Ca8 Ti4 Re4'
_symmetry_space_group_name_H-M 'F m -3 m'
_symmetry_Int_Tables_number 225
_symmetry_space_group_name_Hall '-F 4 2 3'
_cell_length_a 7.101
_cell_length_b 7.101
_cell_length_c 7.101
_cell_angle_alpha 90.00
_cell_angle_beta 90.00
_cell_angle_gamma 90.00
loop_
_atom_site_label
_atom_site_type_symbol
_atom_site_fract_x
_atom_site_fract_y
_atom_site_fract_z
Ca1 Ca 0.250 0.250 0.250
Ti1 Ti 0.000 0.000 0.000
Re1 Re 0.000 0.000 0.500
# Total magnetic moment in μB per formula unit: 0.0
# Energy above the most stable polymorph in this dataset in eV/atom: 0.176
# N(E_F) in states/eV per cell: 18.877
# Formation energy in eV/atom: 1.03
# Calculated total energy in eV/atom: -5.05


# Y5Er2Tm2, optimized geometry, DFT GGA-PBE
data_Y5Er2Tm2
_chemical_formula_sum 'Y10 Er4 Tm4'
_symmetry_space_group_name_H-M 'C 1 2/m 1'
_symmetry_Int_Tables_number 12
_cell_length_a 15.025
_cell_length_b 4.994
_cell_length_c 7.920
_cell_angle_alpha 90.00
_cell_angle_beta 108.42
_cell_angle_gamma 90.00
loop_
_symmetry_equiv_pos_as_xyz
'x,y,z'
'-x,-y,-z'
'-x,y,-z'
'x,-y,z'
'x+1/2,y+1/2,z'
'-x+1/2,-y+1/2,-z'
'-x+1/2,y+1/2,-z'
'x+1/2,-y+1/2,z'
loop_
_atom_site_label
_atom_site_type_symbol
_atom_site_fract_x
_atom_site_fract_y
_atom_site_fract_z
Y1 Y 0.000 0.000 0.000
Y2 Y 0.166 0.500 0.000
Y3 Y 0.222 0.000 0.335
Er1 Er 0.110 0.000 0.665
Tm1 Tm 0.055 0.500 0.336
# Total magnetic moment in μB per formula unit: 0.0
# Energy above the most stable polymorph in this dataset in eV/atom: 0.000
# N(E_F) in states/eV per cell: 26.132
# Formation energy in eV/atom: 0.03
# Calculated total energy in eV/atom: -5.57


# Al2In2Pb, optimized geometry, DFT GGA-PBE
data_Al2In2Pb
_chemical_formula_sum 'Al4 In4 Pb2'
_symmetry_space_group_name_H-M 'I 4/m m m'
_symmetry_Int_Tables_number 139
_symmetry_space_group_name_Hall '-I 4 2'
_cell_length_a 3.927
_cell_length_b 3.927
_cell_length_c 16.528
_cell_angle_alpha 90.00
_cell_angle_beta 90.00
_cell_angle_gamma 90.00
loop_
_atom_site_label
_atom_site_type_symbol
_atom_site_fract_x
_atom_site_fract_y
_atom_site_fract_z
Al1 Al 0.000 0.500 0.250
In1 In 0.000 0.000 0.113
Pb1 Pb 0.000 0.000 0.500
# Total magnetic moment in μB per formula unit: 0.0
# Energy above the most stable polymorph in this dataset in eV/atom: 0.020
# N(E_F) in states/eV per cell: 4.807
# Formation energy in eV/atom: 0.18
# Calculated total energy in eV/atom: -3.15


# PmGaNi3, optimized geometry, DFT GGA-PBE
data_PmGaNi3
_chemical_formula_sum 'Pm4 Ga4 Ni12'
_symmetry_space_group_name_H-M 'P 63/m m c'
_symmetry_Int_Tables_number 194
_symmetry_space_group_name_Hall '-P 6c 2c'
_cell_length_a 5.7512
_cell_length_b 5.7512
_cell_length_c 11.6447
_cell_angle_alpha 90.00
_cell_angle_beta 90.00
_cell_angle_gamma 120.00
loop_
_atom_site_label
_atom_site_type_symbol
_atom_site_fract_x
_atom_site_fract_y
_atom_site_fract_z
Pm1 Pm 0.0000 0.0000 0.0000
Pm2 Pm 0.3333 0.6667 0.2500
Ga1 Ga 0.3333 0.6667 0.6390
Ni1 Ni 0.0000 0.5000 0.0000
Ni2 Ni 0.1342 0.2685 0.7500
# Total magnetic moment in μB per formula unit: 0.0
# Energy above the most stable polymorph in this dataset in eV/atom: 0.082
# N(E_F) in states/eV per cell: 13.952
# Formation energy in eV/atom: -0.22
# Calculated total energy in eV/atom: -5.25


# AcErPb, optimized geometry, DFT GGA-PBE
data_AcErPb
_chemical_formula_sum 'Ac1 Er1 Pb1'
_symmetry_space_group_name_H-M 'P -6 m 2'
_symmetry_Int_Tables_number 187
_symmetry_space_group_name_Hall 'P -6 2'
_cell_length_a 5.2236
_cell_length_b 5.2236
_cell_length_c 4.5296
_cell_angle_alpha 90.00
_cell_angle_beta 90.00
_cell_angle_gamma 120.00
loop_
_atom_site_label
_atom_site_type_symbol
_atom_site_fract_x
_atom_site_fract_y
_atom_site_fract_z
Ac1 Ac 0.0000 0.0000 0.0000
Er1 Er 0.3333 0.6667 0.5000
Pb1 Pb 0.6667 0.3333 0.5000
# Total magnetic moment in μB per formula unit: 0.0
# Energy above the most stable polymorph in this dataset in eV/atom: 0.182
# N(E_F) in states/eV per cell: 1.011
# Formation energy in eV/atom: -0.27
# Calculated total energy in eV/atom: -4.40


# Cr3ICl, optimized geometry, DFT GGA-PBE
data_Cr3ICl
_chemical_formula_sum 'Cr3 I1 Cl1'
_symmetry_space_group_name_H-M 'P m -3 m'
_symmetry_Int_Tables_number 221
_symmetry_space_group_name_Hall '-P 4 2 3'
_cell_length_a 4.321
_cell_length_b 4.321
_cell_length_c 4.321
_cell_angle_alpha 90.00
_cell_angle_beta 90.00
_cell_angle_gamma 90.00
loop_
_atom_site_label
_atom_site_type_symbol
_atom_site_fract_x
_atom_site_fract_y
_atom_site_fract_z
Cr1 Cr 0.000 0.000 0.500
I1 I 0.500 0.500 0.500
Cl1 Cl 0.000 0.000 0.000
# Total magnetic moment in μB per formula unit: 4.2
# Energy above the most stable polymorph in this dataset in eV/atom: 0.025
# N(E_F) in states/eV per cell: 6.777
# Formation energy from raw total energies in kJ/mol of atoms: 116.75
# Calculated total energy in eV/atom: -5.24


# PrThAuC, optimized geometry, DFT GGA-PBE
data_PrThAuC
_chemical_formula_sum 'Pr2 Th2 Au2 C2'
_symmetry_space_group_name_H-M 'C 1 m 1'
_symmetry_Int_Tables_number 8
_cell_length_a 6.562
_cell_length_b 3.775
_cell_length_c 7.877
_cell_angle_alpha 90.00
_cell_angle_beta 106.17
_cell_angle_gamma 90.00
loop_
_symmetry_equiv_pos_as_xyz
'x,y,z'
'x,-y,z'
'x+1/2,y+1/2,z'
'x+1/2,-y+1/2,z'
loop_
_atom_site_label
_atom_site_type_symbol
_atom_site_fract_x
_atom_site_fract_y
_atom_site_fract_z
Pr1 Pr 0.000 0.000 0.000
Th1 Th 0.203 0.000 0.612
Au1 Au 0.270 0.500 0.308
C1 C 0.095 0.500 0.785
# Total magnetic moment in μB per formula unit: 0.0
# N(E_F) in states/eV per cell: 7.501
# Formation energy in eV/atom: -0.40
# Calculated total energy in eV/atom: -6.58


# BaMg2SbMo, optimized geometry, DFT GGA-PBE
data_BaMg2SbMo
_chemical_formula_sum 'Ba1 Mg2 Sb1 Mo1'
_symmetry_space_group_name_H-M 'P 4/m m m'
_symmetry_Int_Tables_number 123
_symmetry_space_group_name_Hall '-P 4 2'
_cell_length_a 5.800
_cell_length_b 5.800
_cell_length_c 5.192
_cell_angle_alpha 90.00
_cell_angle_beta 90.00
_cell_angle_gamma 90.00
loop_
_atom_site_label
_atom_site_type_symbol
_atom_site_fract_x
_atom_site_fract_y
_atom_site_fract_z
Ba1 Ba 0.000 0.000 0.000
Mg1 Mg 0.000 0.500 0.000
Sb1 Sb 0.500 0.500 0.500
Mo1 Mo 0.000 0.000 0.500
# Total magnetic moment in μB per formula unit: 2.0
# N(E_F) in states/eV per cell: 4.575
# Formation energy from raw total energies in kJ/mol of atoms: 170.75
# Calculated total energy in eV/atom: -2.24


# YPaTl2O6, optimized geometry, DFT GGA-PBE
data_YPaTl2O6
_chemical_formula_sum 'Y4 Pa4 Tl8 O24'
_symmetry_space_group_name_H-M 'F m -3 m'
_symmetry_Int_Tables_number 225
_symmetry_space_group_name_Hall '-F 4 2 3'
_cell_length_a 8.802
_cell_length_b 8.802
_cell_length_c 8.802
_cell_angle_alpha 90.00
_cell_angle_beta 90.00
_cell_angle_gamma 90.00
loop_
_atom_site_label
_atom_site_type_symbol
_atom_site_fract_x
_atom_site_fract_y
_atom_site_fract_z
Y1 Y 0.000 0.000 0.000
Pa1 Pa 0.000 0.000 0.500
Tl1 Tl 0.250 0.250 0.250
O1 O 0.000 0.000 0.256
# Total magnetic moment in μB per formula unit: 0.0
# N(E_F) in states/eV per cell: 41.538
# Formation energy from raw total energies in kJ/mol of atoms: -211.66
# Calculated total energy in eV/atom: -7.24


Copy entry 8 word for word.
# AcErPb, optimized geometry, DFT GGA-PBE
data_AcErPb
_chemical_formula_sum 'Ac1 Er1 Pb1'
_symmetry_space_group_name_H-M 'P -6 m 2'
_symmetry_Int_Tables_number 187
_symmetry_space_group_name_Hall 'P -6 2'
_cell_length_a 5.2236
_cell_length_b 5.2236
_cell_length_c 4.5296
_cell_angle_alpha 90.00
_cell_angle_beta 90.00
_cell_angle_gamma 120.00
loop_
_atom_site_label
_atom_site_type_symbol
_atom_site_fract_x
_atom_site_fract_y
_atom_site_fract_z
Ac1 Ac 0.0000 0.0000 0.0000
Er1 Er 0.3333 0.6667 0.5000
Pb1 Pb 0.6667 0.3333 0.5000
# Total magnetic moment in μB per formula unit: 0.0
# Energy above the most stable polymorph in this dataset in eV/atom: 0.182
# N(E_F) in states/eV per cell: 1.011
# Formation energy in eV/atom: -0.27
# Calculated total energy in eV/atom: -4.40